1.
## Ag3Au (GGA-PBEsol)

Data for Ag3Au after structural relaxation.

a = 2.8442 Å, b = 4.0432 Å, c = 5.7790 Å
α = 90.00°, β = 90.00°, γ = 90.00°
With the nearest neighbours (Å) after each atom.
Sites, in units of the cell vectors:
Ag  0.0000  0.0000  0.7485  8 Ag 2.84-2.91, 4 Au 2.87
Ag  0.0000  0.0000  0.2515  8 Ag 2.84-2.91, 4 Au 2.87
Ag  0.5000  0.5000  0.5000  10 Ag 2.84-2.86, 2 Au 2.89
Au  0.5000  0.5000  0.0000  2 Au 2.84, 10 Ag 2.87-2.89

The space-group type is Pmmm, No. 47. The value obtained for the total magnetic moment is 0.0 μB/cell. The calculation puts the energy relative to the elements at -0.038 eV/atom.

***

2.
## Ag5Au (GGA-PBEsol)

Data for Ag5Au after structural relaxation.

a = 2.8429 Å, b = 2.8429 Å, c = 12.3179 Å
α = 90.00°, β = 90.00°, γ = 90.00°
With the nearest neighbours (Å) after each atom.
Sites, in units of the cell vectors:
Ag  0.5000  0.5000  0.8337  12 Ag 2.84-2.87
Ag  0.0000  0.0000  0.0000  12 Ag 2.84-2.87
Ag  0.0000  0.0000  0.3322  8 Ag 2.84-2.87, 4 Au 2.88
Ag  0.0000  0.0000  0.6678  8 Ag 2.84-2.87, 4 Au 2.88
Ag  0.5000  0.5000  0.1663  12 Ag 2.84-2.87
Au  0.5000  0.5000  0.5000  4 Au 2.84, 8 Ag 2.88

The space-group type is P4/mmm, No. 123. The energy above the most stable polymorph in this dataset is 8 meV per atom. The value obtained for the total magnetic moment is 0.0 μB/cell. The calculation puts the energy relative to the elements at -0.018 eV/atom.

***

3.
## Ag3Au (GGA-PBEsol)

Data for Ag3Au after structural relaxation.

a = 4.5576 Å, b = 4.5576 Å, c = 4.5576 Å
α = 60.00°, β = 60.00°, γ = 60.00°
With the nearest neighbours (Å) after each atom.
Sites, in units of the cell vectors:
Ag  0.0000  0.0000  0.0000  8 Ag 2.79
Ag  0.2500  0.2500  0.2500  4 Ag 2.79, 4 Au 2.79
Ag  0.7500  0.7500  0.7500  4 Au 2.79, 4 Ag 2.79
Au  0.5000  0.5000  0.5000  8 Ag 2.79

The space-group type is Fm-3m, No. 225. The value obtained for the total magnetic moment is 0.0 μB/cell. The calculation puts the energy relative to the elements at -0.004 eV/atom.

***

4.
## Ag3Au (GGA-PBEsol)

Data for Ag3Au after structural relaxation.

a = 2.8498 Å, b = 4.7003 Å, c = 4.9660 Å
α = 90.00°, β = 90.00°, γ = 90.00°
With the nearest neighbours (Å) after each atom.
Sites, in units of the cell vectors:
Au  0.0000  0.5000  0.3314  2 Au 2.85, 10 Ag 2.86-2.88
Ag  0.5000  0.0000  0.5025  8 Ag 2.85-2.87, 4 Au 2.88
Ag  0.5000  0.5000  0.8314  8 Ag 2.85-2.88, 4 Au 2.86
Ag  0.0000  0.0000  0.0016  10 Ag 2.85-2.88, 2 Au 2.86

The space-group type is Pmm2, No. 25. The value obtained for the total magnetic moment is 0.0 μB/cell. The calculation puts the energy relative to the elements at -0.030 eV/atom.

***

5.
## Ag3Au (GGA-PBEsol)

Data for Ag3Au after structural relaxation.

a = 2.8654 Å, b = 4.9538 Å, c = 4.9629 Å
α = 99.32°, β = 90.00°, γ = 106.81°
With the nearest neighbours (Å) after each atom.
Sites, in units of the cell vectors:
Ag  0.7504  0.5009  0.7496  9 Ag 2.85-2.87, 3 Au 2.86
Ag  0.0000  0.0000  0.5000  8 Ag 2.85-2.87, 4 Au 2.87
Ag  0.2496  0.4991  0.2504  9 Ag 2.85-2.87, 3 Au 2.86
Au  0.5000  0.0000  0.0000  10 Ag 2.86-2.87, 2 Au 2.87

The space-group type is C2/m, No. 12. The value obtained for the total magnetic moment is 0.0 μB/cell. The calculation puts the energy relative to the elements at -0.036 eV/atom.

***

6.
## AgAu4 (GGA-PBEsol)

Data for AgAu4 after structural relaxation.

a = 2.8600 Å, b = 4.9773 Å, c = 6.4660 Å
α = 75.06°, β = 77.22°, γ = 73.30°
With the nearest neighbours (Å) after each atom.
Sites, in units of the cell vectors:
Au  0.3994  0.8016  0.3996  10 Au 2.86-2.90, 2 Ag 2.88
Au  0.8002  0.5980  0.8015  9 Au 2.86-2.90, 3 Ag 2.87-2.88
Au  0.6006  0.1984  0.6004  10 Au 2.86-2.90, 2 Ag 2.88
Au  0.1998  0.4020  0.1985  9 Au 2.86-2.90, 3 Ag 2.87-2.88
Ag  0.0000  0.0000  0.0000  2 Ag 2.86, 10 Au 2.87-2.88

The space-group type is C2/m, No. 12. The energy above the most stable polymorph in this dataset is 4 meV per atom. The value obtained for the total magnetic moment is 0.0 μB/cell. The calculation puts the energy relative to the elements at -0.029 eV/atom.

***

7.
## Ag3Au (GGA-PBEsol)

Data for Ag3Au after structural relaxation.

a = 4.6639 Å, b = 5.7463 Å, c = 5.7463 Å
α = 120.00°, β = 90.00°, γ = 90.00°
With the nearest neighbours (Å) after each atom.
Sites, in units of the cell vectors:
Ag  0.7500  0.6670  0.8335  8 Ag 2.86-2.88, 4 Au 2.86-2.87
Ag  0.2500  0.8335  0.6670  8 Ag 2.86-2.88, 4 Au 2.86-2.87
Ag  0.7500  0.1665  0.8335  8 Ag 2.86-2.88, 4 Au 2.86-2.87
Ag  0.2500  0.3330  0.1665  8 Ag 2.86-2.88, 4 Au 2.86-2.87
Ag  0.2500  0.8335  0.1665  8 Ag 2.86-2.88, 4 Au 2.86-2.87
Ag  0.7500  0.1665  0.3330  8 Ag 2.86-2.88, 4 Au 2.86-2.87
Au  0.7500  0.6667  0.3333  12 Ag 2.86-2.87
Au  0.2500  0.3333  0.6667  12 Ag 2.86-2.87

The space-group type is P6_3/mmc, No. 194. The value obtained for the total magnetic moment is 0.0 μB/cell. The calculation puts the energy relative to the elements at -0.034 eV/atom.

***

8.
## Ag17Au12 (GGA-PBEsol)

Data for Ag17Au12 after structural relaxation.

a = 8.6635 Å, b = 8.6635 Å, c = 8.6635 Å
α = 109.47°, β = 109.47°, γ = 109.47°
With the nearest neighbours (Å) after each atom.
Sites, in units of the cell vectors:
Ag  0.7262  0.4174  0.4174  5 Au 2.73-2.84, 3 Ag 2.81-2.95
Ag  0.2738  0.6912  0.6912  5 Au 2.73-2.84, 3 Ag 2.81-2.95
Ag  0.5826  0.3088  0.0000  5 Au 2.73-2.84, 3 Ag 2.81-2.95
Ag  0.0000  0.3088  0.5826  5 Au 2.73-2.84, 3 Ag 2.81-2.95
Ag  0.0000  0.3376  0.0000  4 Ag 2.81-2.92, 6 Au 2.99
Ag  0.3088  0.5826  0.0000  5 Au 2.73-2.84, 3 Ag 2.81-2.95
Ag  0.3376  0.0000  0.0000  4 Ag 2.81-2.92, 6 Au 2.99
Ag  0.6912  0.6912  0.2738  5 Au 2.73-2.84, 3 Ag 2.81-2.95
Ag  0.6912  0.2738  0.6912  5 Au 2.73-2.84, 3 Ag 2.81-2.95
Ag  0.4174  0.4174  0.7262  5 Au 2.73-2.84, 3 Ag 2.81-2.95
Ag  0.0000  0.5826  0.3088  5 Au 2.73-2.84, 3 Ag 2.81-2.95
Ag  0.0000  0.0000  0.3376  4 Ag 2.81-2.92, 6 Au 2.99
Ag  0.0000  0.0000  0.0000  4 Ag 2.92, 12 Au 3.18
Ag  0.4174  0.7262  0.4174  5 Au 2.73-2.84, 3 Ag 2.81-2.95
Ag  0.5826  0.0000  0.3088  5 Au 2.73-2.84, 3 Ag 2.81-2.95
Ag  0.6624  0.6624  0.6624  4 Ag 2.81-2.92, 6 Au 2.99
Ag  0.3088  0.0000  0.5826  5 Au 2.73-2.84, 3 Ag 2.81-2.95
Au  0.3827  0.1904  0.3827  3 Au 2.69-2.72, 7 Ag 2.73-2.99
Au  0.8077  0.0000  0.6173  3 Au 2.69-2.72, 7 Ag 2.73-2.99
Au  0.8096  0.1923  0.1923  3 Au 2.69-2.72, 7 Ag 2.73-2.99
Au  0.6173  0.8077  0.0000  3 Au 2.69-2.72, 7 Ag 2.73-2.99
Au  0.1923  0.1923  0.8096  3 Au 2.69-2.72, 7 Ag 2.73-2.99
Au  0.0000  0.8077  0.6173  3 Au 2.69-2.72, 7 Ag 2.73-2.99
Au  0.1904  0.3827  0.3827  3 Au 2.69-2.72, 7 Ag 2.73-2.99
Au  0.3827  0.3827  0.1904  3 Au 2.69-2.72, 7 Ag 2.73-2.99
Au  0.8077  0.6173  0.0000  3 Au 2.69-2.72, 7 Ag 2.73-2.99
Au  0.1923  0.8096  0.1923  3 Au 2.69-2.72, 7 Ag 2.73-2.99
Au  0.0000  0.6173  0.8077  3 Au 2.69-2.72, 7 Ag 2.73-2.99
Au  0.6173  0.0000  0.8077  3 Au 2.69-2.72, 7 Ag 2.73-2.99

The space-group type is I-43m, No. 217. The value obtained for the total magnetic moment is 0.0 μB/cell. The calculation puts the energy relative to the elements at 0.020 eV/atom.

***

9.
## Ag2Au3 (GGA-PBEsol)

Data for Ag2Au3 after structural relaxation.

a = 2.8453 Å, b = 4.0977 Å, c = 7.6017 Å
α = 105.64°, β = 100.79°, γ = 90.00°
With the nearest neighbours (Å) after each atom.
Sites, in units of the cell vectors:
Au  0.0000  0.0000  0.0000  10 Au 2.85-2.89, 2 Ag 2.88
Au  0.6016  0.6016  0.2032  7 Au 2.85-2.92, 5 Ag 2.85-2.87
Au  0.3984  0.3984  0.7968  7 Au 2.85-2.92, 5 Ag 2.85-2.87
Ag  0.2003  0.2003  0.4006  6 Ag 2.85-2.87, 6 Au 2.85-2.88
Ag  0.7997  0.7997  0.5994  6 Ag 2.85-2.87, 6 Au 2.85-2.88

The space-group type is Immm, No. 71. The energy above the most stable polymorph in this dataset is 11 meV per atom. The value obtained for the total magnetic moment is 0.0 μB/cell. The calculation puts the energy relative to the elements at -0.038 eV/atom.

***

10.
## AgAu4 (GGA-PBEsol)

Data for AgAu4 after structural relaxation.

a = 2.8601 Å, b = 2.8601 Å, c = 10.4704 Å
α = 97.85°, β = 97.85°, γ = 90.00°
With the nearest neighbours (Å) after each atom.
Sites, in units of the cell vectors:
Au  0.8002  0.8002  0.6003  12 Au 2.86-2.89
Au  0.4009  0.4009  0.8017  8 Au 2.86-2.89, 4 Ag 2.87
Au  0.1998  0.1998  0.3997  12 Au 2.86-2.89
Au  0.5991  0.5991  0.1983  8 Au 2.86-2.89, 4 Ag 2.87
Ag  0.0000  0.0000  0.0000  4 Ag 2.86, 8 Au 2.87

The space-group type is I4/mmm, No. 139. The energy above the most stable polymorph in this dataset is 9 meV per atom. The value obtained for the total magnetic moment is 0.0 μB/cell. The calculation puts the energy relative to the elements at -0.024 eV/atom.

***

11.
## Ag5Au (GGA-PBEsol)

Data for Ag5Au after structural relaxation.

a = 4.0397 Å, b = 4.0741 Å, c = 6.3777 Å
α = 90.00°, β = 108.46°, γ = 90.00°
With the nearest neighbours (Å) after each atom.
Sites, in units of the cell vectors:
Ag  0.3331  0.5000  0.6662  10 Ag 2.85-2.87, 2 Au 2.87
Ag  0.1670  0.0000  0.3340  10 Ag 2.85-2.87, 2 Au 2.86
Ag  0.8330  0.0000  0.6660  10 Ag 2.85-2.87, 2 Au 2.86
Ag  0.6669  0.5000  0.3338  10 Ag 2.85-2.87, 2 Au 2.87
Ag  0.0000  0.5000  0.0000  8 Ag 2.86-2.87, 4 Au 2.87
Au  0.5000  0.0000  0.0000  12 Ag 2.86-2.87

The space-group type is Cmmm, No. 65. The energy above the most stable polymorph in this dataset is 0 meV per atom. The value obtained for the total magnetic moment is 0.0 μB/cell. The calculation puts the energy relative to the elements at -0.027 eV/atom.

***

12.
## Ag5Au (GGA-PBEsol)

Data for Ag5Au after structural relaxation.

a = 2.8465 Å, b = 5.5101 Å, c = 6.8396 Å
α = 105.27°, β = 90.00°, γ = 104.97°
With the nearest neighbours (Å) after each atom.
Sites, in units of the cell vectors:
Ag  0.6661  0.3322  0.3333  11 Ag 2.85-2.88, 1 Au 2.88
Ag  0.3894  0.7788  0.2791  10 Ag 2.84-2.88, 2 Au 2.86
Ag  0.0549  0.1097  0.6105  10 Ag 2.84-2.88, 2 Au 2.87
Ag  0.3330  0.6660  0.6656  10 Ag 2.85-2.88, 2 Au 2.87
Ag  0.0004  0.0008  0.0000  9 Ag 2.85-2.88, 3 Au 2.87-2.88
Au  0.7230  0.4459  0.9448  2 Au 2.85, 10 Ag 2.86-2.88

The space-group type is Cm, No. 8. The energy above the most stable polymorph in this dataset is 9 meV per atom. The value obtained for the total magnetic moment is 0.0 μB/cell. The calculation puts the energy relative to the elements at -0.018 eV/atom.

***

13.
## AgAu4 (GGA-PBEsol)

Data for AgAu4 after structural relaxation.

a = 2.8545 Å, b = 4.0987 Å, c = 7.6094 Å
α = 105.62°, β = 100.81°, γ = 90.00°
With the nearest neighbours (Å) after each atom.
Sites, in units of the cell vectors:
Au  0.4010  0.4010  0.8019  8 Au 2.85-2.89, 4 Ag 2.87
Au  0.1997  0.1997  0.3994  11 Au 2.85-2.89, 1 Ag 2.87
Au  0.8003  0.8003  0.6006  11 Au 2.85-2.89, 1 Ag 2.87
Au  0.5990  0.5990  0.1981  8 Au 2.85-2.89, 4 Ag 2.87
Ag  0.0000  0.0000  0.0000  2 Ag 2.85, 10 Au 2.87

The space-group type is Immm, No. 71. The energy above the most stable polymorph in this dataset is 4 meV per atom. The value obtained for the total magnetic moment is 0.0 μB/cell. The calculation puts the energy relative to the elements at -0.029 eV/atom.

***

14.
## Ag3Au (GGA-PBEsol)

Data for Ag3Au after structural relaxation.

a = 4.9137 Å, b = 5.7730 Å, c = 9.3819 Å
α = 90.00°, β = 90.00°, γ = 90.00°
With the nearest neighbours (Å) after each atom.
Sites, in units of the cell vectors:
Ag  0.2515  0.8749  0.5001  9 Ag 2.84-2.89, 3 Au 2.86-2.87
Ag  0.7515  0.6251  0.9999  9 Ag 2.84-2.89, 3 Au 2.86-2.87
Ag  0.2485  0.3749  0.0001  9 Ag 2.84-2.89, 3 Au 2.86-2.87
Ag  0.5862  0.3748  0.7500  4 Au 2.84-2.89, 8 Ag 2.85-2.87
Ag  0.9138  0.8748  0.2500  4 Au 2.84-2.89, 8 Ag 2.85-2.87
Ag  0.2485  0.3749  0.4999  9 Ag 2.84-2.89, 3 Au 2.86-2.87
Ag  0.7515  0.6251  0.5001  9 Ag 2.84-2.89, 3 Au 2.86-2.87
Ag  0.0862  0.1252  0.7500  4 Au 2.84-2.89, 8 Ag 2.85-2.87
Ag  0.4138  0.6252  0.2500  4 Au 2.84-2.89, 8 Ag 2.85-2.87
Ag  0.2515  0.8749  0.9999  9 Ag 2.84-2.89, 3 Au 2.86-2.87
Ag  0.7485  0.1251  0.0001  9 Ag 2.84-2.89, 3 Au 2.86-2.87
Ag  0.7485  0.1251  0.4999  9 Ag 2.84-2.89, 3 Au 2.86-2.87
Au  0.5885  0.8762  0.7500  10 Ag 2.84-2.89, 2 Au 2.86
Au  0.0885  0.6238  0.7500  10 Ag 2.84-2.89, 2 Au 2.86
Au  0.9115  0.3762  0.2500  10 Ag 2.84-2.89, 2 Au 2.86
Au  0.4115  0.1238  0.2500  10 Ag 2.84-2.89, 2 Au 2.86

The space-group type is Pnma, No. 62. The value obtained for the total magnetic moment is 0.0 μB/cell. The calculation puts the energy relative to the elements at -0.032 eV/atom.

***

| no. | Fermi-level density of states (states/eV/f.u.) |
| --- | --- |
| 1 | 0.9 |
| 2 | 1.8 |
| 3 | 1.1 |
| 4 | 1.1 |
| 5 | 1.0 |
| 6 | 1.5 |
| 7 | 1.3 |
| 8 | 7.7 |
| 9 | 1.5 |
| 10 | 1.4 |
| 11 | 1.9 |
| 12 | 1.7 |
| 13 | 1.5 |
| 14 | 1.2 |